DFT (GGA+U) results for a relaxed structure of Li3VOF5.

Values from the calculation:
V, Å³ per cell: 255.4
Final energy, eV per atom: -5.43

abc: 6.4142 6.4220 6.2006
angles: 90.00 90.00 90.00
With the nearest neighbours (Å) after each atom.
Space group Imm2 (No. 44)
Inequivalent atoms, fractional coordinates:
Li 0.0000 0.0000 0.0000 x2  2 F 1.86
Li 0.0000 0.2337 0.3882 x4  3 F 1.87-2.03
V 0.0000 0.5000 0.8355 x2  1 O 1.66
O 0.0000 0.5000 0.1028 x2  1 V 1.66
F 0.0000 0.2019 0.7851 x4  1 Li 1.86, 1 V 1.94
F 0.0000 0.5000 0.5083 x2  2 Li 1.87, 1 V 2.03
F 0.1887 0.0000 0.2863 x4  1 V 2.02, 3 Li 2.03-2.15